Material: Ho2RuI
Method: DFT, GGA-PBE
State: optimized geometry

a = 4.0301 Å, b = 4.0301 Å, c = 8.2548 Å
α = 75.87°, β = 75.87°, γ = 60.00°
Fractional positions:
1 I 0.4995 0.4995 0.5015
2 Ho 0.0608 0.0608 0.8175
3 Ho 0.2731 0.2731 0.1806
4 Ru 0.6666 0.6666 0.0003

## Properties
**Energy relative to the elements, uncorrected**: -0.5943 eV/atom
**Polymorph energy (0 for the lowest one)**: 11.4 meV per atom
**DOS(E_F)**: 2.1 states/eV per cell